1.
PBE Pm2Sm4Al, relaxed; V = 32.47 A^3/atom
1.0
-0.028 -3.140 -1.894
3.095 -1.923 -0.406
-2.944 -11.532 15.614
Sm Pm Al
4 2 1
direct
0.909 0.909 0.272
0.091 0.091 0.728
0.706 0.706 0.883
0.294 0.294 0.117
0.808 0.808 0.577
0.192 0.192 0.423
0.000 0.000 0.000


2.
PBE Pm2Sm4Al, relaxed; V = 35.38 A^3/atom
1.0
4.813 0.000 0.000
0.000 4.807 0.000
0.000 0.000 10.703
Pm Sm Al
2 4 1
direct
0.500 0.000 0.500
0.000 0.500 0.500
0.258 0.741 0.783
0.742 0.741 0.217
0.258 0.259 0.217
0.742 0.259 0.783
0.000 0.000 0.000


Among the structures shown above, 1 is the most stable, with the second-best lying 492 meV/atom higher.